Entry 1:
Here is crystalline Hf4Sn2As at its relaxed geometry from Alexandria. Energies are from PBE-GGA.

POSCAR file:
```
Hf4Sn2As
1.0
7.786 -1.661 0.000
7.786 1.661 0.000
-2.362 0.000 6.069
Hf Sn As
4 2 1
Direct
0.080 0.080 0.435
0.388 0.388 0.099
0.612 0.612 0.901
0.920 0.920 0.565
0.243 0.243 0.285
0.757 0.757 0.715
0.000 0.000 0.000
```

Output
The relative energy among the computed polymorphs is 0.0 meV per atom.

---

Entry 2:
Here is crystalline Hf2SnAs at its relaxed geometry from Alexandria. Energies are from PBE-GGA.

POSCAR file:
```
Hf2SnAs
1.0
1.950 1.126 6.697
-1.950 1.126 6.697
0.000 -2.252 6.697
Hf Sn As
2 1 1
Direct
0.241 0.241 0.241
0.759 0.759 0.759
0.000 0.000 0.000
0.500 0.500 0.500
```

Output
The relative energy among the computed polymorphs is 58.6 meV per atom.

---

Entry 3:
Here is crystalline Hf5SnAs at its relaxed geometry from Alexandria. Energies are from PBE-GGA.

POSCAR file:
```
Hf5SnAs
1.0
4.958 -3.174 0.000
4.958 3.174 0.000
-2.719 0.000 9.908
Hf Sn As
10 2 2
Direct
0.047 0.405 0.644
0.079 0.921 0.750
0.232 0.505 0.957
0.405 0.047 0.144
0.495 0.768 0.543
0.505 0.232 0.457
0.595 0.953 0.856
0.768 0.495 0.043
0.921 0.079 0.250
0.953 0.595 0.356
0.426 0.574 0.250
0.574 0.426 0.750
0.000 0.000 0.000
0.000 0.000 0.500
```

---

Entry 4:
Here is crystalline HfSn3As at its relaxed geometry from Alexandria. Energies are from PBE-GGA.

POSCAR file:
```
HfSn3As
1.0
5.268 0.000 0.000
0.000 5.268 0.000
0.000 0.000 5.268
Hf Sn As
1 3 1
Direct
0.000 0.000 0.000
0.000 0.500 0.500
0.500 0.000 0.500
0.500 0.500 0.000
0.500 0.500 0.500
```

Output
The relative energy among the computed polymorphs is 131.9 meV per atom.

---

Entry 5:
Here is crystalline HfSnAs3 at its relaxed geometry from Alexandria. Energies are from PBE-GGA.

POSCAR file:
```
HfSnAs3
1.0
5.089 0.000 0.000
0.000 5.089 0.000
0.000 0.000 5.089
Hf Sn As
1 1 3
Direct
0.000 0.000 0.000
0.500 0.500 0.500
0.000 0.500 0.500
0.500 0.000 0.500
0.500 0.500 0.000
```

Output
The relative energy among the computed polymorphs is 843.3 meV per atom.

---

Entry 6:
Here is crystalline Hf6Sn3As at its relaxed geometry from Alexandria. Energies are from PBE-GGA.

POSCAR file:
```
Hf6Sn3As
1.0
6.598 0.000 0.000
0.000 7.592 0.000
-6.507 0.000 9.116
Hf Sn As
12 6 2
Direct
0.013 0.057 0.240
0.013 0.443 0.740
0.175 0.676 0.058
0.175 0.824 0.558
0.417 0.151 0.054
0.417 0.349 0.554
0.583 0.651 0.446
0.583 0.849 0.946
0.825 0.176 0.442
0.825 0.324 0.942
0.987 0.557 0.260
0.987 0.943 0.760
0.333 0.149 0.747
0.333 0.351 0.247
0.500 0.000 0.500
0.500 0.500 0.000
0.667 0.649 0.753
0.667 0.851 0.253
0.000 0.000 0.000
0.000 0.500 0.500
```

---

Entry 7:
Here is crystalline HfSn3As at its relaxed geometry from Alexandria. Energies are from PBE-GGA.

POSCAR file:
```
HfSn3As
1.0
5.524 0.000 0.000
0.000 5.524 0.000
0.000 0.000 5.524
Hf Sn As
1 3 1
Direct
0.000 0.000 0.000
0.000 0.000 0.500
0.000 0.500 0.000
0.500 0.000 0.000
0.500 0.500 0.500
```

Output
The relative energy among the computed polymorphs is 0.0 meV per atom.

---

Entry 8:
Here is crystalline Hf3SnAs at its relaxed geometry from Alexandria. Energies are from PBE-GGA.

POSCAR file:
```
Hf3SnAs
1.0
4.951 0.000 0.000
0.000 4.951 0.000
0.000 0.000 4.951
Hf Sn As
3 1 1
Direct
0.000 0.000 0.500
0.000 0.500 0.000
0.500 0.000 0.000
0.500 0.500 0.500
0.000 0.000 0.000
```

Output
The relative energy among the computed polymorphs is 358.0 meV per atom.

---

Entry 9:
Here is crystalline HfSn2As at its relaxed geometry from Alexandria. Energies are from PBE-GGA.

POSCAR file:
```
HfSn2As
1.0
-3.347 3.347 5.933
3.347 -3.347 5.933
3.347 3.347 -5.933
Hf Sn As
2 4 2
Direct
0.000 0.000 0.000
0.750 0.250 0.500
0.145 0.625 0.020
0.375 0.395 0.520
0.605 0.125 0.980
0.875 0.855 0.480
0.250 0.750 0.500
0.500 0.500 0.000
```

---

Entry 10:
Here is crystalline Hf2SnAs at its relaxed geometry from Alexandria. Energies are from PBE-GGA.

POSCAR file:
```
Hf2SnAs
1.0
0.000 3.452 3.452
3.452 0.000 3.452
3.452 3.452 0.000
Hf Sn As
2 1 1
Direct
0.250 0.250 0.250
0.750 0.750 0.750
0.000 0.000 0.000
0.500 0.500 0.500
```

Output
The relative energy among the computed polymorphs is 324.0 meV per atom.

---

Entry 11:
Here is crystalline HfSnAs2 at its relaxed geometry from Alexandria. Energies are from PBE-GGA.

POSCAR file:
```
HfSnAs2
1.0
1.918 1.107 7.350
-1.918 1.107 7.350
0.000 -2.215 7.350
Hf Sn As
1 1 2
Direct
0.000 0.000 0.000
0.837 0.837 0.837
0.403 0.403 0.403
0.591 0.591 0.591
```

---

Entry 12:
Here is crystalline HfSn2As2 at its relaxed geometry from Alexandria. Energies are from PBE-GGA.

POSCAR file:
```
HfSn2As2
1.0
7.242 0.000 0.000
0.000 7.242 0.000
0.000 0.000 4.467
Hf Sn As
2 4 4
Direct
0.000 0.000 0.000
0.500 0.500 0.000
0.158 0.342 0.500
0.342 0.842 0.500
0.658 0.158 0.500
0.842 0.658 0.500
0.161 0.661 0.000
0.339 0.161 0.000
0.661 0.839 0.000
0.839 0.339 0.000
```

---

Table of formation energy from the elements (eV/atom), in record order: -0.232; -0.523; -0.151; 0.814; 0.975; -0.260; 0.682; 0.115; 0.482; -0.258; -0.418; -0.128
Table of electronic total energy (eV/cell), in record order: -54.09; -30.65; -118.95; -22.54; -23.03; -157.96; -23.20; -37.94; -41.36; -29.59; -24.93; -55.79
Table of M_tot (Bohr magnetons per cell), in record order: 0.00; 0.00; 0.00; 0.00; 0.00; 0.00; 0.00; 0.00; 0.00; 0.00; 0.00; 0.00